Compound: Ac2HoMgSe5
Source: Alexandria
Functional: PBE
Structure: relaxed

Its uncorrected formation energy is -1.7914 eV/atom. The spin magnetization is 0.00 μB/f.u. The calculated volume is 27.4 Å³/atom.

The structure belongs to space group Cmc2_1 (No. 36); the cell edges are 4.240, 18.020 and 12.927 Å and the angles 90.00°, 90.00° and 90.00°. The distinct sites, in fractional coordinates, are Ac at (0.000, 0.113, 0.000), Ac at (0.000, 0.135, 0.623), Ho at (0.000, 0.203, 0.328), Mg at (0.000, 0.456, 0.767), Se at (0.000, 0.049, 0.374), Se at (0.000, 0.287, 0.978), Se at (0.000, 0.315, 0.676), Se at (0.000, 0.361, 0.315) and Se at (0.000, 0.493, 0.086).

---

Compound: Zn2FeSb
Source: Alexandria
Functional: PBE
Structure: relaxed

Its uncorrected formation energy is 0.2465 eV/atom. The spin magnetization is 1.93 μB/f.u. The calculated volume is 16.2 Å³/atom.

The structure belongs to space group I4/mmm (No. 139); the cell edges are 3.857, 3.857 and 8.691 Å and the angles 90.00°, 90.00° and 90.00°. The distinct sites, in fractional coordinates, are Zn at (0.000, 0.500, 0.250), Fe at (0.000, 0.000, 0.000) and Sb at (0.000, 0.000, 0.500).

---

Compound: Tb2AlCu2Ni5
Source: Alexandria
Functional: PBE
Structure: relaxed

The spin magnetization is 0.00 μB/f.u. The calculated volume is 14.7 Å³/atom. The value obtained for the formation energy is -0.32 eV/atom.

The structure belongs to space group P4/mbm (No. 127); the cell edges are 9.016, 9.016 and 3.623 Å and the angles 90.00°, 90.00° and 90.00°. The distinct sites, in fractional coordinates, are Tb at (0.178, 0.322, 0.000), Al at (0.000, 0.000, 0.000), Cu at (0.120, 0.620, 0.000), Ni at (0.000, 0.500, 0.500) and Ni at (0.059, 0.798, 0.500).